No. 1
A plane-wave DFT calculation with GGA-PBE was carried out for ScZn2Cd2Au2 after structural relaxation.

a b c (Å): 7.9104 7.9104 7.9104
angles (deg): 33.52 33.52 33.52
Closest atoms and distances in Å follow each position.
Element x y z (fractional)
Sc 0.0000 0.0000 0.0000  6 Zn 2.97, 2 Cd 3.00, 6 Au 3.05
Zn 0.3942 0.3942 0.3942  4 Au 2.64-2.89
Zn 0.6058 0.6058 0.6058  4 Au 2.64-2.89
Cd 0.1341 0.1341 0.1341  4 Au 2.93-3.02, 1 Sc 3.00, 3 Cd 3.01, 3 Zn 3.10
Cd 0.8659 0.8659 0.8659  4 Au 2.93-3.02, 1 Sc 3.00, 3 Cd 3.01, 3 Zn 3.10
Au 0.2650 0.2650 0.2650  4 Zn 2.64-2.89, 1 Cd 2.93
Au 0.7350 0.7350 0.7350  4 Zn 2.64-2.89, 1 Cd 2.93

Calculated values
ΔH_f (0 K), eV per atom: -0.3635
Space group: No. 166

=====

No. 2
A plane-wave DFT calculation with GGA-PBE was carried out for CdAuSe2 after structural relaxation.

a b c (Å): 4.1308 4.1308 23.1476
angles (deg): 90.00 90.00 120.00
Closest atoms and distances in Å follow each position.
Element x y z (fractional)
Cd 0.0000 0.0000 0.0000  6 Se 2.80
Cd 0.3333 0.6667 0.6667  6 Se 2.80
Cd 0.6667 0.3333 0.3333  6 Se 2.80
Au 0.0000 0.0000 0.5000  2 Se 2.39
Au 0.3333 0.6667 0.1667  2 Se 2.39
Au 0.6667 0.3333 0.8333  2 Se 2.39
Se 0.0000 0.0000 0.3967  1 Au 2.39
Se 0.0000 0.0000 0.6033  1 Au 2.39
Se 0.3333 0.6667 0.0633  1 Au 2.39
Se 0.3333 0.6667 0.2700  1 Au 2.39
Se 0.6667 0.3333 0.7300  1 Au 2.39
Se 0.6667 0.3333 0.9367  1 Au 2.39

Calculated values
Raw total energy, eV for the cell shown: -35.16
Space group: No. 166

=====

No. 3
A plane-wave DFT calculation with GGA-PBE was carried out for CdAuSe4 after structural relaxation.

a b c (Å): 5.7490 5.7490 5.7490
angles (deg): 60.00 60.00 60.00
Closest atoms and distances in Å follow each position.
Element x y z (fractional)
Cd 0.0000 0.0000 0.0000  12 Se 3.37, 4 Au 3.52
Au 0.2500 0.2500 0.2500  12 Se 3.37, 4 Cd 3.52
Se 0.1263 0.6246 0.6246  6 Se 2.86-2.88
Se 0.6246 0.1263 0.6246  6 Se 2.86-2.88
Se 0.6246 0.6246 0.1263  6 Se 2.86-2.88
Se 0.6246 0.6246 0.6246  6 Se 2.86-2.88

Calculated values
Raw total energy, eV for the cell shown: -14.92
Space group: No. 216

=====

No. 4
A plane-wave DFT calculation with GGA-PBE was carried out for CdAuSe2 after structural relaxation.

a b c (Å): 3.6653 7.0819 7.8805
angles (deg): 90.00 90.00 90.00
Closest atoms and distances in Å follow each position.
Element x y z (fractional)
Cd 0.0000 0.0000 0.0000  2 Se 2.68, 2 Au 2.76
Cd 0.5000 0.5000 0.5000  2 Se 2.68, 2 Au 2.76
Au 0.0000 0.5000 0.7611  2 Se 2.55, 2 Cd 2.76
Au 0.5000 0.0000 0.2611  2 Se 2.55, 2 Cd 2.76
Se 0.0000 0.0000 0.4863  2 Au 2.55, 2 Se 2.78
Se 0.0000 0.5000 0.2523  2 Cd 2.68, 2 Se 2.78
Se 0.5000 0.0000 0.7523  2 Cd 2.68, 2 Se 2.78
Se 0.5000 0.5000 0.9863  2 Au 2.55, 2 Se 2.78

Calculated values
Raw total energy, eV for the cell shown: -21.28
Space group: No. 44

=====

No. 5
A plane-wave DFT calculation with GGA-PBE was carried out for CdAuSe after structural relaxation.

a b c (Å): 6.5686 6.5686 6.5686
angles (deg): 90.00 90.00 90.00
Closest atoms and distances in Å follow each position.
Element x y z (fractional)
Cd 0.0000 0.0000 0.0000  4 Au 2.84
Cd 0.0000 0.5000 0.5000  4 Au 2.84
Cd 0.5000 0.0000 0.5000  4 Au 2.84
Cd 0.5000 0.5000 0.0000  4 Au 2.84
Au 0.2500 0.2500 0.2500  4 Cd 2.84, 4 Se 2.84
Au 0.2500 0.7500 0.7500  4 Cd 2.84, 4 Se 2.84
Au 0.7500 0.2500 0.7500  4 Cd 2.84, 4 Se 2.84
Au 0.7500 0.7500 0.2500  4 Cd 2.84, 4 Se 2.84
Se 0.0000 0.0000 0.5000  4 Au 2.84
Se 0.0000 0.5000 0.0000  4 Au 2.84
Se 0.5000 0.0000 0.0000  4 Au 2.84
Se 0.5000 0.5000 0.5000  4 Au 2.84

Calculated values
Raw total energy, eV for the cell shown: -31.29
Space group: No. 216

=====

No. 6
A plane-wave DFT calculation with GGA-PBE was carried out for CdAu2Se2 after structural relaxation.

a b c (Å): 3.9028 3.9028 14.6714
angles (deg): 90.00 90.00 90.00
Closest atoms and distances in Å follow each position.
Element x y z (fractional)
Cd 0.0000 0.0000 0.0000  8 Se 3.18
Cd 0.5000 0.5000 0.5000  8 Se 3.18
Au 0.0000 0.5000 0.2500  4 Au 2.76, 4 Se 2.86
Au 0.0000 0.5000 0.7500  4 Au 2.76, 4 Se 2.86
Au 0.5000 0.0000 0.2500  4 Au 2.76, 4 Se 2.86
Au 0.5000 0.0000 0.7500  4 Au 2.76, 4 Se 2.86
Se 0.0000 0.0000 0.3925  4 Au 2.86, 1 Se 3.15, 4 Cd 3.18
Se 0.0000 0.0000 0.6075  4 Au 2.86, 1 Se 3.15, 4 Cd 3.18
Se 0.5000 0.5000 0.1075  4 Au 2.86, 1 Se 3.15, 4 Cd 3.18
Se 0.5000 0.5000 0.8925  4 Au 2.86, 1 Se 3.15, 4 Cd 3.18

Calculated values
Raw total energy, eV for the cell shown: -27.49
Space group: No. 139

=====

No. 7
A plane-wave DFT calculation with GGA-PBE was carried out for CdAuSe2 after structural relaxation.

a b c (Å): 3.6819 3.9263 13.9118
angles (deg): 90.00 90.00 90.00
Closest atoms and distances in Å follow each position.
Element x y z (fractional)
Cd 0.0000 0.0000 0.0000  4 Au 2.69
Cd 0.5000 0.5000 0.5000  4 Au 2.69
Au 0.0000 0.0000 0.5000  4 Cd 2.69
Au 0.5000 0.5000 0.0000  4 Cd 2.69
Se 0.0000 0.5000 0.2690  4 Se 2.74
Se 0.0000 0.5000 0.7310  4 Se 2.74
Se 0.5000 0.0000 0.2310  4 Se 2.74
Se 0.5000 0.0000 0.7690  4 Se 2.74

Calculated values
Raw total energy, eV for the cell shown: -21.01
Space group: No. 71

=====

No. 8
A plane-wave DFT calculation with GGA-PBE was carried out for CdAuSe2 after structural relaxation.

a b c (Å): 3.7495 3.7963 7.5179
angles (deg): 90.00 90.00 90.00
Closest atoms and distances in Å follow each position.
Element x y z (fractional)
Cd 0.0000 0.0000 0.0000  4 Se 2.67
Au 0.0000 0.5000 0.5000  4 Se 2.67
Se 0.5000 0.0000 0.5000  4 Au 2.67
Se 0.5000 0.5000 0.0000  4 Cd 2.67

Calculated values
Raw total energy, eV for the cell shown: -11.03
Space group: No. 47

=====

Number 1: DOS(E_F) 0.53 states/eV per atom, volume 19.21 A^3/atom. Number 2: DOS(E_F) 0.52 states/eV per atom, volume 28.51 A^3/atom. Number 3: DOS(E_F) 0.34 states/eV per atom, volume 22.39 A^3/atom. Number 4: DOS(E_F) 0.55 states/eV per atom, volume 25.57 A^3/atom. Number 5: DOS(E_F) 0.57 states/eV per atom, volume 23.62 A^3/atom. Number 6: DOS(E_F) 0.49 states/eV per atom, volume 22.35 A^3/atom. Number 7: DOS(E_F) 0.49 states/eV per atom, volume 25.14 A^3/atom. Number 8: DOS(E_F) 0.81 states/eV per atom, volume 26.75 A^3/atom.